Entry 1:
HgMoAu2: PBEsol geometry, meta-GGA SCAN.

The structure in POSCAR format:
```
HgMoAu2
1.0
2.769 0.000 0.000
0.000 5.048 0.000
-1.385 -2.524 5.082
Au Hg Mo
2 1 1
Direct
0.736 0.736 0.473 Au
0.264 0.264 0.527 Au
0.500 0.000 0.000 Hg
0.000 0.500 0.000 Mo
```

VASP energy = -59.973 eV/atom

---

Entry 2:
Cd2PbAu2: PBEsol geometry, meta-GGA SCAN.

The structure in POSCAR format:
```
Cd2PbAu2
1.0
-2.481 1.854 0.131
-1.892 -3.051 7.336
4.516 5.792 3.573
Cd Au Pb
4 4 2
Direct
0.500 0.832 0.332 Cd
0.500 0.168 0.668 Cd
0.500 0.668 0.832 Cd
0.500 0.332 0.168 Cd
0.000 0.372 0.872 Au
0.000 0.128 0.372 Au
0.000 0.628 0.128 Au
0.000 0.872 0.628 Au
0.000 0.500 0.500 Pb
0.000 0.000 0.000 Pb
```

relative energy among the computed polymorphs = 0 meV per atom
VASP energy = -55.141 eV/atom

---

Entry 3:
KAlMo2: PBEsol geometry, meta-GGA SCAN.

The structure in POSCAR format:
```
KAlMo2
1.0
2.643 0.002 0.000
-0.965 5.408 0.000
-0.839 -2.705 4.996
Mo Al K
2 1 1
Direct
0.000 0.000 0.500 Mo
0.500 0.500 0.500 Mo
0.000 0.500 0.000 Al
0.500 0.000 0.000 K
```

VASP energy = -20.251 eV/atom

---

Entry 4:
Ir2Pb2O7: PBEsol geometry, meta-GGA SCAN.

The structure in POSCAR format:
```
Ir2Pb2O7
1.0
7.259 0.000 0.000
3.629 6.286 0.000
3.629 2.095 5.927
O Ir Pb
14 4 4
Direct
0.204 0.796 0.796 O
0.204 0.204 0.796 O
0.454 0.046 0.454 O
0.796 0.796 0.204 O
0.796 0.204 0.796 O
0.204 0.796 0.204 O
0.046 0.046 0.454 O
0.046 0.454 0.046 O
0.750 0.750 0.750 O
0.796 0.204 0.204 O
0.454 0.454 0.046 O
0.046 0.454 0.454 O
0.454 0.046 0.046 O
0.500 0.500 0.500 O
0.125 0.125 0.625 Ir
0.125 0.125 0.125 Ir
0.625 0.125 0.125 Ir
0.125 0.625 0.125 Ir
0.625 0.625 0.625 Pb
0.625 0.125 0.625 Pb
0.625 0.625 0.125 Pb
0.125 0.625 0.625 Pb
```

formation energy (no corrections) = -1.05 eV per atom
VASP energy = -31.723 eV/atom

---

Entry 5:
ZnSnO2: PBEsol geometry, meta-GGA SCAN.

The structure in POSCAR format:
```
ZnSnO2
1.0
3.414 0.194 0.036
1.201 7.941 0.068
1.615 0.400 8.892
O Zn Sn
8 4 4
Direct
0.921 0.677 0.482 O
0.620 0.853 0.933 O
0.665 0.396 0.271 O
0.911 0.301 0.861 O
0.079 0.323 0.518 O
0.335 0.604 0.729 O
0.380 0.147 0.067 O
0.089 0.699 0.139 O
0.808 0.280 0.085 Zn
0.085 0.521 0.311 Zn
0.192 0.720 0.915 Zn
0.915 0.479 0.689 Zn
0.318 0.812 0.556 Sn
0.518 0.126 0.825 Sn
0.682 0.188 0.444 Sn
0.482 0.874 0.175 Sn
```

formation energy (no corrections) = -1.36 eV per atom
relative energy among the computed polymorphs = 0 meV per atom
VASP energy = -16.832 eV/atom

---

Entry 6:
Sr3Al2H12O12: PBEsol geometry, meta-GGA SCAN.

The structure in POSCAR format:
```
Sr3Al2H12O12
1.0
11.222 0.000 0.000
-3.741 10.580 0.000
-3.741 -5.290 9.163
H O Sr Al
48 48 12 8
Direct
0.440 0.745 0.889 H
0.695 0.551 0.940 H
0.255 0.644 0.695 H
0.644 0.449 0.389 H
0.305 0.856 0.745 H
0.389 0.440 0.245 H
0.755 0.695 0.644 H
0.440 0.695 0.051 H
0.755 0.060 0.611 H
0.060 0.949 0.305 H
0.949 0.144 0.889 H
0.889 0.644 0.949 H
0.551 0.440 0.195 H
0.745 0.356 0.305 H
0.356 0.551 0.611 H
0.255 0.611 0.060 H
0.144 0.755 0.195 H
0.560 0.305 0.949 H
0.111 0.755 0.560 H
0.356 0.805 0.245 H
0.805 0.745 0.856 H
0.940 0.889 0.745 H
0.611 0.560 0.755 H
0.551 0.111 0.856 H
0.805 0.060 0.449 H
0.695 0.144 0.255 H
0.949 0.805 0.560 H
0.449 0.560 0.805 H
0.940 0.051 0.695 H
0.195 0.255 0.144 H
0.644 0.195 0.755 H
0.195 0.940 0.551 H
0.889 0.245 0.440 H
0.245 0.940 0.389 H
0.305 0.449 0.060 H
0.745 0.389 0.940 H
0.856 0.245 0.805 H
0.449 0.889 0.144 H
0.051 0.195 0.440 H
0.111 0.356 0.051 H
0.060 0.111 0.255 H
0.560 0.255 0.111 H
0.051 0.856 0.111 H
0.144 0.389 0.449 H
0.856 0.611 0.551 H
0.389 0.949 0.644 H
0.611 0.051 0.356 H
0.245 0.305 0.356 H
0.686 0.608 0.020 O
0.392 0.912 0.078 O
0.608 0.520 0.186 O
0.814 0.834 0.922 O
0.334 0.314 0.422 O
0.892 0.078 0.912 O
0.834 0.422 0.314 O
0.020 0.912 0.834 O
0.588 0.480 0.666 O
0.480 0.314 0.892 O
0.392 0.480 0.814 O
0.020 0.108 0.686 O
0.892 0.814 0.480 O
0.314 0.922 0.834 O
0.412 0.892 0.578 O
0.520 0.834 0.912 O
0.834 0.412 0.020 O
0.666 0.686 0.578 O
0.588 0.108 0.422 O
0.108 0.922 0.088 O
0.166 0.588 0.980 O
0.666 0.980 0.588 O
0.088 0.666 0.480 O
0.922 0.334 0.814 O
0.088 0.422 0.108 O
0.578 0.186 0.666 O
0.166 0.578 0.686 O
0.608 0.088 0.922 O
0.980 0.892 0.314 O
0.912 0.578 0.892 O
0.314 0.392 0.980 O
0.814 0.980 0.392 O
0.980 0.088 0.166 O
0.922 0.588 0.608 O
0.422 0.814 0.334 O
0.686 0.078 0.166 O
0.912 0.334 0.520 O
0.108 0.186 0.520 O
0.520 0.686 0.108 O
0.422 0.608 0.588 O
0.334 0.020 0.412 O
0.412 0.520 0.334 O
0.480 0.166 0.088 O
0.186 0.166 0.078 O
0.186 0.020 0.608 O
0.578 0.392 0.412 O
0.078 0.412 0.392 O
0.078 0.666 0.186 O
0.375 0.125 0.250 Sr
0.875 0.625 0.250 Sr
0.625 0.750 0.375 Sr
0.875 0.250 0.125 Sr
0.125 0.375 0.750 Sr
0.250 0.125 0.875 Sr
0.625 0.875 0.750 Sr
0.375 0.250 0.625 Sr
0.125 0.750 0.875 Sr
0.750 0.375 0.625 Sr
0.750 0.875 0.125 Sr
0.250 0.625 0.375 Sr
0.000 0.000 0.500 Al
0.500 0.500 0.000 Al
0.500 0.000 0.000 Al
0.500 0.500 0.500 Al
0.000 0.500 0.500 Al
0.000 0.000 0.000 Al
0.000 0.500 0.000 Al
0.500 0.000 0.500 Al
```

VASP energy = -8.813 eV/atom

---

Entry 7:
Mn2IrOs: PBEsol geometry, meta-GGA SCAN.

The structure in POSCAR format:
```
Mn2IrOs
1.0
2.618 0.000 0.000
0.000 4.467 0.006
0.000 -1.391 4.244
Mn Ir Os
2 1 1
Direct
0.000 0.500 0.000 Mn
0.000 0.000 0.500 Mn
0.500 0.500 0.500 Ir
0.500 0.000 0.000 Os
```

relative energy among the computed polymorphs = 242 meV per atom
VASP energy = -44.989 eV/atom

---

Entry 8:
ReSiC3: PBEsol geometry, meta-GGA SCAN.

The structure in POSCAR format:
```
ReSiC3
1.0
3.669 0.000 0.000
0.000 3.669 0.000
0.000 0.000 3.669
C Re Si
3 1 1
Direct
0.000 0.000 0.500 C
0.000 0.500 0.000 C
0.500 0.000 0.000 C
0.500 0.500 0.500 Re
0.000 0.000 0.000 Si
```

formation energy (no corrections) = 2.37 eV per atom
VASP energy = -19.909 eV/atom